# SrVAs2O8 (GGA+U, relaxed)
data_SrVAs2O8
_space_group_name_H-M_alt 'R 3 2'
_space_group_IT_number 155
_space_group_name_Hall 'R 3 2"'
_cell_length_a 4.8701
_cell_length_b 4.8701
_cell_length_c 23.9277
_cell_angle_alpha 90.00
_cell_angle_beta 90.00
_cell_angle_gamma 120.00
loop_
_atom_site_label
_atom_site_fract_x
_atom_site_fract_y
_atom_site_fract_z
_atom_site_occupancy
Sr1 0.0000 0.0000 0.0000 1
V1 0.0000 0.0000 0.5000 1
As1 0.0000 0.0000 0.2406 1
O1 0.0000 0.0000 0.3115 1
O2 0.0080 0.3143 0.4466 1
# Total magnetic moment   2.97 μB per cell
# Raw total energy   -6.4674 eV per atom